## NaPb6O8 (GGA-PBE)

Data for an optimized crystal structure of NaPb6O8.

Unit cell a=9.1081 b=9.1081 c=12.8731 alpha=90.00 beta=90.00 gamma=120.00
Space group R-3 (No. 148, hexagonal axes)
Symmetry-distinct sites (fractional):
Na 0.0000 0.0000 0.0000 (multiplicity 3)
Pb 0.0193 0.2543 0.7333 (multiplicity 18)
O 0.0000 0.0000 0.2997 (multiplicity 6)
O 0.0288 0.2729 0.9138 (multiplicity 18)

Computed properties:
- calculated total energy (eV/atom) = -5.172
- M_tot (μB per formula unit) = 0.00
- density of states at the Fermi level (states/eV/cell) = 12.728



## MgMnGaFe (GGA-PBE)

Data for an optimized crystal structure of MgMnGaFe.

Unit cell a=6.088 b=6.088 c=6.088 alpha=90.00 beta=90.00 gamma=90.00
Space group F-43m (No. 216)
Symmetry-distinct sites (fractional):
Mg 0.000 0.000 0.000 (multiplicity 4)
Mn 0.250 0.250 0.250 (multiplicity 4)
Ga 0.000 0.000 0.500 (multiplicity 4)
Fe 0.250 0.250 0.750 (multiplicity 4)

Computed properties:
- calculated total energy (eV/atom) = -5.478
- M_tot (μB per formula unit) = 5.18
- formation enthalpy at 0 K (eV per formula unit) = 0.34
- density of states at the Fermi level (states/eV/cell) = 15.794



## Mn2AgMo2 (GGA-PBE)

Data for an optimized crystal structure of Mn2AgMo2.

Unit cell a=7.103 b=7.103 c=2.860 alpha=90.00 beta=90.00 gamma=90.00
Space group P4/mbm (No. 127)
Symmetry-distinct sites (fractional):
Mn 0.138 0.362 0.000 (multiplicity 4)
Ag 0.000 0.000 0.000 (multiplicity 2)
Mo 0.158 0.658 0.500 (multiplicity 4)

Computed properties:
- calculated total energy (eV/atom) = -8.228
- M_tot (μB per formula unit) = 0.38
- formation enthalpy at 0 K (eV per formula unit) = 1.71
- density of states at the Fermi level (states/eV/cell) = 9.470



## Er6TmPu (GGA-PBE)

Data for an optimized crystal structure of Er6TmPu.

Unit cell a=5.591 b=7.076 c=12.240 alpha=90.00 beta=90.00 gamma=90.00
Space group Amm2 (No. 38)
Symmetry-distinct sites (fractional):
Er 0.000 0.000 0.000 (multiplicity 2)
Er 0.000 0.246 0.749 (multiplicity 4)
Er 0.500 0.000 0.168 (multiplicity 2)
Er 0.500 0.249 0.417 (multiplicity 4)
Tm 0.000 0.000 0.502 (multiplicity 2)
Pu 0.500 0.000 0.666 (multiplicity 2)

Computed properties:
- calculated total energy (eV/atom) = -5.720
- M_tot (μB per formula unit) = 6.78
- formation enthalpy at 0 K (eV per formula unit) = 0.42
- density of states at the Fermi level (states/eV/cell) = 39.267



## YTmSeS (GGA-PBE)

Data for an optimized crystal structure of YTmSeS.

Unit cell a=3.8830 b=3.8830 c=20.4770 alpha=90.00 beta=90.00 gamma=120.00
Space group R3m (No. 160, hexagonal axes)
Symmetry-distinct sites (fractional):
Y 0.0000 0.0000 0.0000 (multiplicity 3)
Tm 0.0000 0.0000 0.8151 (multiplicity 3)
Se 0.0000 0.0000 0.2380 (multiplicity 3)
S 0.0000 0.0000 0.4117 (multiplicity 3)

Computed properties:
- calculated total energy (eV/atom) = -6.510
- M_tot (μB per formula unit) = 0.00
- density of states at the Fermi level (states/eV/cell) = 1.386



## KPuBi2 (GGA-PBE)

Data for an optimized crystal structure of KPuBi2.

Unit cell a=6.277 b=6.277 c=3.262 alpha=90.00 beta=90.00 gamma=90.00
Space group P4/mmm (No. 123)
Symmetry-distinct sites (fractional):
K 0.000 0.000 0.000 (multiplicity 1)
Pu 0.500 0.500 0.000 (multiplicity 1)
Bi 0.000 0.500 0.500 (multiplicity 2)

Computed properties:
- calculated total energy (eV/atom) = -6.034
- M_tot (μB per formula unit) = 5.65
- formation enthalpy at 0 K (eV per formula unit) = -0.94
- density of states at the Fermi level (states/eV/cell) = 12.234



## NaBiTe2 (GGA-PBE)

Data for an optimized crystal structure of NaBiTe2.

Unit cell a=4.5113 b=4.5113 c=22.8888 alpha=90.00 beta=90.00 gamma=120.00
Space group R-3m (No. 166, hexagonal axes)
Symmetry-distinct sites (fractional):
Na 0.0000 0.0000 0.0000 (multiplicity 3)
Bi 0.0000 0.0000 0.5000 (multiplicity 3)
Te 0.0000 0.0000 0.2458 (multiplicity 6)

Computed properties:
- calculated total energy (eV/atom) = -3.413
- M_tot (μB per formula unit) = 0.00



## Co2TcW (GGA-PBE)

Data for an optimized crystal structure of Co2TcW.

Unit cell a=5.975 b=5.975 c=5.975 alpha=90.00 beta=90.00 gamma=90.00
Space group F-43m (No. 216)
Symmetry-distinct sites (fractional):
Co 0.000 0.000 0.000 (multiplicity 4)
Co 0.250 0.250 0.250 (multiplicity 4)
Tc 0.250 0.250 0.750 (multiplicity 4)
W 0.000 0.000 0.500 (multiplicity 4)

Computed properties:
- calculated total energy (eV/atom) = -9.173
- M_tot (μB per formula unit) = 2.88
- formation enthalpy at 0 K (eV per formula unit) = 0.84
- density of states at the Fermi level (states/eV/cell) = 30.386